Entry 1:
The following is a PBE calculation of crystalline LiScPdCl2 at its relaxed geometry, from Alexandria.

Structure (POSCAR):
```
LiScPdCl2
1.0
-4.516 -0.839 -1.319
1.730 -6.222 -1.966
-0.972 -1.653 4.377
Sc Cl Li Pd
1 2 1 1
Cartesian
0.000 0.000 0.000
-0.486 -0.827 2.189
-2.258 -0.420 -0.660
0.865 -3.111 -0.983
-1.879 -4.357 0.546
```

Total moment: 0.32 μB per formula unit
Crystal system: tetragonal
Formation energy from raw total energies: -397 meV/atom
Space group: P4/mmm (123)

***

Entry 2:
The following is a PBE calculation of crystalline BaPr2ZnO5 at its relaxed geometry, from Alexandria.

Structure (POSCAR):
```
BaPr2ZnO5
1.0
6.872 0.000 0.000
0.000 6.872 0.000
-3.436 -3.436 5.865
O Zn Ba Pr
10 2 2 4
Cartesian
0.992 2.444 4.326
0.000 0.000 0.000
3.436 3.436 0.000
4.428 5.880 1.539
2.444 -0.992 4.326
2.444 0.992 1.539
5.880 2.444 1.539
-2.444 0.992 4.326
-0.992 -2.444 4.326
0.992 4.428 1.539
3.436 0.000 2.933
0.000 3.436 2.933
0.000 0.000 2.933
3.436 3.436 2.933
5.676 4.631 0.000
2.240 5.676 0.000
4.631 1.195 0.000
1.195 2.240 0.000
```

Total moment: 0.00 μB per formula unit
Crystal system: tetragonal
Formation energy from raw total energies: -2727 meV/atom
Space group: I4/mcm (140)

***

Entry 3:
The following is a PBE calculation of crystalline AlH2O2 at its relaxed geometry, from Alexandria.

Structure (POSCAR):
```
AlH2O2
1.0
5.493 0.000 0.000
0.000 5.493 0.000
0.000 0.000 2.497
Al H O
2 4 4
Cartesian
2.746 2.746 0.000
0.000 0.000 0.000
0.852 3.599 1.248
1.894 0.852 1.248
3.599 4.641 1.248
4.641 1.894 1.248
1.704 1.042 0.000
4.451 1.704 0.000
1.042 3.788 0.000
3.788 4.451 0.000
```

Total moment: 0.90 μB per formula unit
Crystal system: tetragonal
Total energy: -5.011 eV/atom
Space group: P4/mbm (127)

***

Entry 4:
The following is a PBE calculation of crystalline TlCoPS2 at its relaxed geometry, from Alexandria.

Structure (POSCAR):
```
TlCoPS2
1.0
5.099 0.000 0.000
0.000 5.099 0.000
0.000 0.000 5.080
Co P S Tl
1 1 2 1
Cartesian
2.549 2.549 2.540
0.000 0.000 2.540
2.549 0.000 0.000
0.000 2.549 0.000
0.000 0.000 0.000
```

Total moment: 2.68 μB per formula unit
Crystal system: tetragonal
Formation energy from raw total energies: 1577 meV/atom
Space group: P4/mmm (123)

***

Entry 5:
The following is a PBE calculation of crystalline Rb3PrTh2S6 at its relaxed geometry, from Alexandria.

Structure (POSCAR):
```
Rb3PrTh2S6
1.0
-0.183 6.186 3.737
-2.771 -6.034 2.860
7.907 -1.742 0.939
S Th Rb Pr
6 2 3 1
Cartesian
4.507 0.820 5.921
1.333 1.780 1.916
5.501 -1.350 2.571
-0.548 -0.240 4.966
3.619 -3.370 5.621
0.446 -2.410 1.615
-1.045 2.115 3.445
-1.909 -1.963 3.152
3.344 3.304 4.063
1.608 -4.894 3.474
2.476 -0.795 3.768
0.000 0.000 0.000
```

Total moment: 0.00 μB per formula unit
Crystal system: monoclinic
Formation energy from raw total energies: -1711 meV/atom
Space group: C2/m (12)

***

Entry 6:
The following is a PBE calculation of crystalline SnTeCl at its relaxed geometry, from Alexandria.

Structure (POSCAR):
```
SnTeCl
1.0
3.348 0.000 0.000
0.000 5.222 0.000
0.000 -2.611 4.522
Cl Sn Te
1 1 1
Cartesian
0.780 0.000 3.015
0.114 0.000 0.000
2.453 2.611 1.507
```

Total moment: 0.00 μB per formula unit
Crystal system: trigonal
Formation energy from raw total energies: -262 meV/atom
Space group: P3m1 (156)

***

Entry 7:
The following is a PBE calculation of crystalline TmScGa at its relaxed geometry, from Alexandria.

Structure (POSCAR):
```
TmScGa
1.0
4.274 0.000 0.000
0.000 4.274 0.000
0.000 0.000 7.704
Ga Tm Sc
2 2 2
Cartesian
2.137 0.000 5.834
0.000 2.137 1.870
0.000 2.137 6.594
2.137 0.000 1.110
2.137 2.137 3.852
0.000 0.000 3.852
```

Total moment: 0.65 μB per formula unit
Crystal system: tetragonal
Space group: P4/nmm (129)
Calculated formation energy: -0.431 eV/atom

***

Entry 8:
The following is a PBE calculation of crystalline WCl at its relaxed geometry, from Alexandria.

Structure (POSCAR):
```
WCl
1.0
3.181 0.000 0.000
-1.591 2.755 0.000
0.000 0.000 9.247
Cl W
2 2
Cartesian
1.591 0.918 3.033
0.000 0.000 8.526
0.000 0.000 4.857
1.591 0.918 6.702
```

Total moment: 0.00 μB per formula unit
Crystal system: trigonal
Formation energy from raw total energies: -243 meV/atom
Space group: P-3m1 (164)

***

Entry 9:
The following is a PBE calculation of crystalline Nd2SmMnN4 at its relaxed geometry, from Alexandria.

Structure (POSCAR):
```
Nd2SmMnN4
1.0
-2.469 -2.012 -1.410
1.603 -2.664 5.296
-8.523 6.397 5.799
Mn N Sm Nd
2 8 2 4
Cartesian
-7.380 1.332 6.720
-2.009 0.389 2.964
-6.079 1.681 8.247
0.000 0.000 0.000
-4.261 3.198 2.899
-6.496 1.411 5.060
-0.964 -1.138 3.312
-2.893 0.310 4.624
-8.425 2.859 6.372
-3.310 0.040 1.437
-3.076 -2.288 4.349
-6.313 4.009 5.335
-4.375 0.782 6.545
-5.014 0.938 3.139
-7.866 3.403 8.920
-1.523 -1.682 0.764
```

Total moment: 3.56 μB per formula unit
Crystal system: orthorhombic
Formation energy from raw total energies: -969 meV/atom
Space group: Cmcm (63)

***

Entry 10:
The following is a PBE calculation of crystalline KGeHIr2 at its relaxed geometry, from Alexandria.

Structure (POSCAR):
```
KGeHIr2
1.0
4.851 0.000 0.000
0.000 5.519 0.000
0.000 0.000 4.851
K Ir H Ge
1 2 1 1
Cartesian
0.000 0.000 0.000
2.426 0.000 0.000
0.000 0.000 2.426
2.426 2.759 2.426
0.000 2.759 0.000
```

Total moment: 1.83 μB per formula unit
Crystal system: tetragonal
Total energy: -2.233 eV/atom
Space group: P4/mmm (123)

***

Entry 11:
The following is a PBE calculation of crystalline Ca2Cu3AgAs4 at its relaxed geometry, from Alexandria.

Structure (POSCAR):
```
Ca2Cu3AgAs4
1.0
4.244 0.000 0.000
0.000 4.244 0.000
0.000 0.000 10.547
As Cu Ag Ca
4 3 1 2
Cartesian
2.122 2.122 0.000
0.000 2.122 3.726
2.122 0.000 6.821
0.000 0.000 0.000
0.000 2.122 1.352
0.000 0.000 5.273
2.122 0.000 9.195
2.122 2.122 5.273
0.000 2.122 7.897
2.122 0.000 2.650
```

Total moment: 0.00 μB per formula unit
Crystal system: tetragonal
Space group: P-4m2 (115)
Calculated formation energy: -0.467 eV/atom

***

Entry 12:
The following is a PBE calculation of crystalline ErZn3GaCu at its relaxed geometry, from Alexandria.

Structure (POSCAR):
```
ErZn3GaCu
1.0
-5.687 0.957 -0.861
0.414 -2.466 -5.472
-1.472 -4.178 5.079
Ga Er Zn Cu
2 2 6 2
Cartesian
-4.447 -2.175 -2.663
-2.299 -3.513 1.409
-5.018 -2.498 0.747
-1.728 -3.189 -2.001
-4.988 -4.489 -1.661
-1.758 -1.198 0.407
0.294 -1.755 -3.893
0.119 -0.711 -1.578
-2.549 -1.276 -4.324
-2.724 -0.233 -2.009
-4.461 -0.119 -0.284
-2.285 -5.569 -0.970
```

Total moment: 0.00 μB per formula unit
Crystal system: orthorhombic
Space group: Cmcm (63)
Calculated formation energy: -0.136 eV/atom

***

Which formula does entry 12 have?
ErZn3GaCu

***

Which value of total moment does entry 11 give?
0.00 μB per formula unit